No. 1
! La2NiIr (PBE-GGA, optimized geometry); values from VASP
&SYSTEM
  ibrav = 0, nat = 8, ntyp = 3
/
ATOMIC_SPECIES
Ir 192.22 Ir.upf
La 138.91 La.upf
Ni 58.69 Ni.upf
CELL_PARAMETERS angstrom
5.9512 0.0000 0.0000
0.0000 4.2247 0.0000
-2.6653 0.0000 7.4960
ATOMIC_POSITIONS crystal
Ir 0.3381 0.7500 0.2116
Ir 0.6619 0.2500 0.7884
La 0.7760 0.7500 0.0671
La 0.2268 0.2500 0.4299
La 0.7732 0.7500 0.5701
La 0.2240 0.2500 0.9329
Ni 0.6553 0.2500 0.2909
Ni 0.3447 0.7500 0.7091
! Formation energy ... -0.575 eV per atom

---

No. 2
! LaNiSnPIr (PBE-GGA, optimized geometry); values from VASP
&SYSTEM
  ibrav = 0, nat = 10, ntyp = 5
/
ATOMIC_SPECIES
Ir 192.22 Ir.upf
La 138.91 La.upf
Ni 58.69 Ni.upf
P 30.97 P.upf
Sn 118.71 Sn.upf
CELL_PARAMETERS angstrom
4.1442 0.0000 0.0000
0.0000 4.1442 0.0000
0.0000 0.0000 10.5715
ATOMIC_POSITIONS crystal
Ir 0.0000 0.0000 0.0000
Ir 0.5000 0.5000 0.0000
La 0.0000 0.5000 0.2354
La 0.5000 0.0000 0.7646
Ni 0.5000 0.0000 0.3409
Ni 0.0000 0.5000 0.6591
P 0.5000 0.0000 0.1310
P 0.0000 0.5000 0.8690
Sn 0.0000 0.0000 0.5000
Sn 0.5000 0.5000 0.5000
! Energy ... -6.581 eV per atom

---

No. 3
! LaNiSnPIr (PBE-GGA, optimized geometry); values from VASP
&SYSTEM
  ibrav = 0, nat = 10, ntyp = 5
/
ATOMIC_SPECIES
Ir 192.22 Ir.upf
La 138.91 La.upf
Ni 58.69 Ni.upf
P 30.97 P.upf
Sn 118.71 Sn.upf
CELL_PARAMETERS angstrom
4.3574 0.0000 0.0000
0.0000 4.3574 0.0000
0.0000 0.0000 9.9349
ATOMIC_POSITIONS crystal
Ir 0.0000 0.0000 0.0000
Ir 0.5000 0.5000 0.0000
La 0.0000 0.5000 0.2750
La 0.5000 0.0000 0.7250
Ni 0.5000 0.0000 0.4151
Ni 0.0000 0.5000 0.5849
P 0.0000 0.0000 0.5000
P 0.5000 0.5000 0.5000
Sn 0.5000 0.0000 0.1516
Sn 0.0000 0.5000 0.8484
! Energy ... -6.527 eV per atom